(1)
Computed, not measured: a relaxed structure of Ba3TlZn2O6 at the PBE level of DFT.

```
data_Ba3TlZn2O6
_cell_length_a 6.2190
_cell_length_b 6.2190
_cell_length_c 7.0130
_cell_angle_alpha 90.00
_cell_angle_beta 90.00
_cell_angle_gamma 120.00
_symmetry_space_group_name_H-M 'P -3 m 1'
_symmetry_Int_Tables_number 164
_symmetry_space_group_name_Hall '-P 3 2"'
loop_
_atom_site_label
_atom_site_type_symbol
_atom_site_fract_x
_atom_site_fract_y
_atom_site_fract_z
Ba1 Ba 0.0000 0.0000 0.0000
Ba2 Ba 0.3333 0.6667 0.6402
Tl1 Tl 0.0000 0.0000 0.5000
Zn1 Zn 0.3333 0.6667 0.1947
O1 O 0.1680 0.3360 0.2964
```

---

(2)
Computed, not measured: a relaxed structure of Ba6Tl2ZnO at the PBE level of DFT.

```
data_Ba6Tl2ZnO
_cell_length_a 8.374
_cell_length_b 11.715
_cell_length_c 8.685
_cell_angle_alpha 90.00
_cell_angle_beta 90.00
_cell_angle_gamma 90.00
_symmetry_space_group_name_H-M 'P m m n'
_symmetry_Int_Tables_number 59
loop_
_symmetry_equiv_pos_as_xyz
'x,y,z'
'-x,-y,-z'
'-x+1/2,-y+1/2,z'
'x+1/2,y+1/2,-z'
'x+1/2,-y,-z'
'-x+1/2,y,z'
'-x,y+1/2,-z'
'x,-y+1/2,z'
loop_
_atom_site_label
_atom_site_type_symbol
_atom_site_fract_x
_atom_site_fract_y
_atom_site_fract_z
Ba1 Ba 0.000 0.250 0.067
Ba2 Ba 0.025 0.250 0.520
Ba3 Ba 0.250 0.018 0.280
Tl1 Tl 0.250 0.529 0.705
Zn1 Zn 0.250 0.750 0.216
O1 O 0.250 0.250 0.266
```

---

D(E_F)
In order: 2.1, 25.3
Unit: states/eV per cell
Ρ
In order: 5.96, 5.12
Unit: g/cm3
DFT total energy
In order: -4.999, -2.774
Unit: eV per atom